This record from Alexandria via LeMat-Bulk describes Na2HgGeBi after structural relaxation. The functional is PBE.

magnetization: 0.00 Bohr magnetons per cell
D(E_F): 2.9 states/eV/cell
formation energy: 0.200 eV/atom

Cell lengths 5.496, 5.181, 5.496 Å; angles 90.00, 90.00, 90.00 degrees
Fractional coordinates of all 5 atoms:
Na 0.000 0.000 0.500
Na 0.500 0.000 0.000
Ge 0.000 0.500 0.000
Bi 0.500 0.500 0.500
Hg 0.000 0.000 0.000